(1)
Entry from Alexandria: CaHoCdSi after structural relaxation (PBE).

Geometry as extended XYZ:
```
4
Lattice="0.000 3.635 3.635 3.635 0.000 3.635 3.635 3.635 0.000" Properties=species:S:1:pos:R:3 pbc="T T T"
Ca 0.000 0.000 0.000
Ho 3.635 3.635 3.635
Cd 1.818 1.818 1.818
Si 5.453 5.453 5.453
```

- ΔE_f (raw): -328.6 meV/atom
- Final energy: -3.56 eV/atom

=====

(2)
Entry from Alexandria: Li3Pu2NpN6 after structural relaxation (PBE).

Geometry as extended XYZ:
```
12
Lattice="7.121 -1.722 0.000 7.121 1.722 0.000 -0.668 0.000 6.275" Properties=species:S:1:pos:R:3 pbc="T T T"
Li 0.000 0.000 0.000
Li 4.520 0.000 4.339
Li 9.055 0.000 1.936
Pu 4.578 0.000 1.111
Pu 8.996 0.000 5.164
Np -0.334 0.000 3.138
N 1.722 0.000 3.661
N 2.464 0.000 0.326
N 6.827 0.000 1.749
N 6.747 0.000 4.526
N 11.110 0.000 5.949
N 11.852 0.000 2.614
```

- ΔE_f (raw): -902.4 meV/atom
- Final energy: -9.01 eV/atom

=====

(3)
Entry from Alexandria: MgAlZn3 after structural relaxation (PBE).

Geometry as extended XYZ:
```
5
Lattice="4.993 0.000 0.000 0.000 4.993 0.000 0.000 0.000 4.993" Properties=species:S:1:pos:R:3 pbc="T T T"
Mg 0.000 0.000 0.000
Al 2.496 2.496 2.496
Zn 0.000 0.000 2.496
Zn 0.000 2.496 0.000
Zn 2.496 0.000 0.000
```

- Energy of formation: 0.7234 eV/atom
- Final energy: -1.11 eV/atom

=====

(4)
Entry from Alexandria: CaPW2 after structural relaxation (PBE).

Geometry as extended XYZ:
```
4
Lattice="1.702 -2.378 0.000 1.702 2.378 0.000 0.000 0.000 8.725" Properties=species:S:1:pos:R:3 pbc="T T T"
Ca 0.000 0.000 0.000
P 1.702 0.000 2.232
W 0.000 0.000 4.040
W 1.702 0.000 6.132
```

- Energy of formation: 0.3185 eV/atom
- Final energy: -8.01 eV/atom

=====

(5)
Entry from Alexandria: Re2RuRh after structural relaxation (PBE).

Geometry as extended XYZ:
```
8
Lattice="-2.906 2.906 5.031 2.906 -2.906 5.031 2.906 2.906 -5.031" Properties=species:S:1:pos:R:3 pbc="T T T"
Re 4.360 1.443 -1.258
Re 1.443 1.453 1.258
Re -1.453 1.464 3.773
Re 1.464 1.453 6.289
Ru 0.000 0.000 0.000
Ru 0.000 2.906 2.516
Rh 2.906 0.000 2.516
Rh 0.000 0.000 5.031
```

- Energy of formation: 1.3628 eV/atom
- Final energy: -9.02 eV/atom

=====

(6)
Entry from Alexandria: LiGaCo2Br after structural relaxation (PBE).

Geometry as extended XYZ:
```
5
Lattice="4.438 0.000 0.000 0.000 4.438 0.000 0.000 0.000 4.464" Properties=species:S:1:pos:R:3 pbc="T T T"
Li 0.000 0.000 0.000
Ga 2.219 2.219 0.000
Co 0.000 2.219 2.232
Co 2.219 0.000 2.232
Br 0.000 0.000 2.232
```

- ΔE_f (raw): 642.2 meV/atom
- Final energy: -3.52 eV/atom

=====

(7)
Entry from Alexandria: CsGaTeBr2 after structural relaxation (PBE).

Geometry as extended XYZ:
```
5
Lattice="6.539 0.000 0.000 0.000 6.539 0.000 0.000 0.000 7.001" Properties=species:S:1:pos:R:3 pbc="T T T"
Cs 0.000 0.000 0.000
Ga 0.000 0.000 3.500
Te 3.269 3.269 3.500
Br 0.000 3.269 0.000
Br 3.269 0.000 0.000
```

- ΔE_f (raw): 147.4 meV/atom
- Final energy: -1.93 eV/atom

=====

(8)
Entry from Alexandria: SmYAlHg after structural relaxation (PBE).

Geometry as extended XYZ:
```
4
Lattice="0.000 3.724 3.724 3.724 0.000 3.724 3.724 3.724 0.000" Properties=species:S:1:pos:R:3 pbc="T T T"
Sm 0.000 0.000 0.000
Y 3.724 3.724 3.724
Al 5.587 5.587 5.587
Hg 1.862 1.862 1.862
```

- Energy of formation: -0.4117 eV/atom
- Final energy: -4.22 eV/atom

=====

(9)
Entry from Alexandria: Ac3NdO6 after structural relaxation (PBE).

Geometry as extended XYZ:
```
20
Lattice="5.294 3.056 4.115 -5.294 3.056 4.115 0.000 -6.113 4.115" Properties=species:S:1:pos:R:3 pbc="T T T"
Ac -3.685 -0.970 5.643
Ac -1.002 -3.677 6.702
Ac -2.683 2.706 6.702
Ac 2.683 -2.706 5.643
Ac 1.002 3.677 5.643
Ac 3.685 0.970 6.702
Nd 0.000 0.000 0.000
Nd 0.000 0.000 6.173
O -3.484 -3.304 6.685
O -4.604 1.365 5.660
O -1.305 -1.689 5.019
O 1.119 -4.670 5.660
O -2.115 0.285 7.326
O -0.811 1.974 5.019
O 0.811 -1.974 7.326
O 2.115 -0.285 5.019
O -1.119 4.670 6.685
O 1.305 1.689 7.326
O 4.604 -1.365 6.685
O 3.484 3.304 5.660
```

- ΔE_f (raw): -3331.3 meV/atom
- Final energy: -8.02 eV/atom

=====

(10)
Entry from Alexandria: LiBe4Ga after structural relaxation (PBE).

Geometry as extended XYZ:
```
6
Lattice="0.000 3.095 3.095 3.095 0.000 3.095 3.095 3.095 0.000" Properties=species:S:1:pos:R:3 pbc="T T T"
Li 0.000 0.000 0.000
Be 3.872 2.317 2.317
Be 2.317 3.872 2.317
Be 2.317 2.317 3.872
Be 3.872 3.872 3.872
Ga 1.547 1.547 1.547
```

- Energy of formation: 0.0177 eV/atom
- Final energy: -3.29 eV/atom

=====

(11)
Entry from Alexandria: Sr2ZrRu after structural relaxation (PBE).

Geometry as extended XYZ:
```
8
Lattice="-5.767 5.767 2.427 5.767 -5.767 2.427 5.767 5.767 -2.427" Properties=species:S:1:pos:R:3 pbc="T T T"
Sr 1.066 2.883 0.607
Sr -2.883 4.701 1.820
Sr -1.066 8.650 0.607
Sr 2.883 6.833 1.820
Zr 5.767 0.000 1.214
Zr 0.000 0.000 2.427
Ru 0.000 0.000 0.000
Ru 0.000 5.767 1.214
```

- Energy of formation: 0.4976 eV/atom
- Final energy: -4.80 eV/atom

=====

(12)
Entry from Alexandria: HoEr2Tm after structural relaxation (PBE).

Geometry as extended XYZ:
```
8
Lattice="5.537 0.000 0.000 0.000 6.190 3.580 0.000 -6.190 3.580" Properties=species:S:1:pos:R:3 pbc="T T T"
Ho 1.384 -4.130 3.580
Ho 4.153 4.130 3.580
Er 1.384 2.058 3.580
Er 1.384 -1.032 5.369
Er 4.153 -2.058 3.580
Er 4.153 1.032 5.369
Tm 1.384 -1.032 1.791
Tm 4.153 1.032 1.791
```

- Energy of formation: -0.0023 eV/atom
- Final energy: -4.55 eV/atom

=====

Number 1: volume 96.10 Å³/cell. Number 2: volume 153.90 Å³/cell. Number 3: volume 124.44 Å³/cell. Number 4: volume 70.64 Å³/cell. Number 5: volume 170.00 Å³/cell. Number 6: volume 87.90 Å³/cell. Number 7: volume 299.30 Å³/cell. Number 8: volume 103.32 Å³/cell. Number 9: volume 399.48 Å³/cell. Number 10: volume 59.28 Å³/cell. Number 11: volume 322.87 Å³/cell. Number 12: volume 245.43 Å³/cell.